1.
Compound: RbNaIn2I6
Source: the Alexandria database
Functional: PBE-GGA
Structure: optimized geometry

As for the uncorrected formation energy: -0.808 eV/atom. Its spin magnetization is 0.00 μB/f.u.

The structure belongs to space group R3 (No. 146, hexagonal axes); the cell edges are 8.5550, 8.5550 and 21.2320 Å and the angles 90.00°, 90.00° and 120.00°. The inequivalent atoms are Rb at (0.0000, 0.0000, 0.0000), Na at (0.0000, 0.0000, 0.5102), In at (0.0000, 0.0000, 0.2092), In at (0.0000, 0.0000, 0.7097), I at (0.0248, 0.7233, 0.7859) and I at (0.0904, 0.3684, 0.2866).


2.
Compound: RbNaIn2I4
Source: the Alexandria database
Functional: PBE-GGA
Structure: optimized geometry

As for the uncorrected formation energy: -0.889 eV/atom. Its spin magnetization is 0.00 μB/f.u.

The structure belongs to space group P2/m (No. 10); the cell edges are 8.6430, 4.9725 and 8.6487 Å and the angles 90.00°, 109.22° and 90.00°. The inequivalent atoms are Rb at (0.0000, 0.0000, 0.0000), Na at (0.0000, 0.5000, 0.5000), In at (0.5000, 0.0000, 0.5000), In at (0.5000, 0.5000, 0.0000), I at (0.2413, 0.0000, 0.7326) and I at (0.2494, 0.5000, 0.2681).


3.
Compound: Na2InSI
Source: the Alexandria database
Functional: PBE-GGA
Structure: optimized geometry

As for the uncorrected formation energy: -0.761 eV/atom. Its spin magnetization is 0.00 μB/f.u.

The structure belongs to space group P4/mmm (No. 123); the cell edges are 5.3096, 5.3096 and 5.9555 Å and the angles 90.00°, 90.00° and 90.00°. The inequivalent atoms are Na at (0.0000, 0.5000, 0.0000), In at (0.0000, 0.0000, 0.5000), S at (0.0000, 0.0000, 0.0000) and I at (0.5000, 0.5000, 0.5000).


4.
Compound: NaInSb2I
Source: the Alexandria database
Functional: PBE-GGA
Structure: optimized geometry

As for the uncorrected formation energy: 0.197 eV/atom. The value obtained for the excess energy over the best structure of this formula in the dataset is 0 meV/atom. Its spin magnetization is 1.01 μB/f.u.

The structure belongs to space group P4/mmm (No. 123); the cell edges are 5.6322, 5.6322 and 6.5539 Å and the angles 90.00°, 90.00° and 90.00°. The inequivalent atoms are Na at (0.0000, 0.0000, 0.0000), In at (0.5000, 0.5000, 0.5000), Sb at (0.0000, 0.5000, 0.5000) and I at (0.5000, 0.5000, 0.0000).


5.
Compound: Na2InSbI6
Source: the Alexandria database
Functional: PBE-GGA
Structure: optimized geometry

As for the uncorrected formation energy: -0.714 eV/atom. Its spin magnetization is 0.00 μB/f.u.

The structure belongs to space group P1 (No. 1); the cell edges are 8.1124, 8.1176 and 8.8076 Å and the angles 90.02°, 117.41° and 119.97°. The inequivalent atoms are Na at (0.0000, 0.0000, 0.0000), Na at (0.0264, 0.5136, 0.5398), In at (0.3935, 0.6966, 0.0910), Sb at (0.3768, 0.1883, 0.5656), I at (0.1936, 0.3924, 0.3154), I at (0.2196, 0.2817, 0.7939), I at (0.5119, 0.9382, 0.7942), I at (0.5143, 0.1214, 0.3155), I at (0.8554, 0.5737, 0.7941) and I at (0.9226, 0.8013, 0.3155).


6.
Compound: NaInSbI2
Source: the Alexandria database
Functional: PBE-GGA
Structure: optimized geometry

As for the uncorrected formation energy: -0.153 eV/atom. The value obtained for the excess energy over the best structure of this formula in the dataset is 0 meV/atom. Its spin magnetization is 1.68 μB/f.u.

The structure belongs to space group P4/mmm (No. 123); the cell edges are 6.2473, 6.2473 and 5.7364 Å and the angles 90.00°, 90.00° and 90.00°. The inequivalent atoms are Na at (0.0000, 0.0000, 0.0000), In at (0.5000, 0.5000, 0.5000), Sb at (0.5000, 0.5000, 0.0000) and I at (0.0000, 0.5000, 0.5000).


7.
Compound: NaIn2SbI6
Source: the Alexandria database
Functional: PBE-GGA
Structure: optimized geometry

As for the uncorrected formation energy: -0.543 eV/atom. Its spin magnetization is 0.00 μB/f.u.

The structure belongs to space group R3 (No. 146, hexagonal axes); the cell edges are 8.4646, 8.4646 and 21.4774 Å and the angles 90.00°, 90.00° and 120.00°. The inequivalent atoms are Na at (0.0000, 0.0000, 0.0000), In at (0.0000, 0.0000, 0.2928), In at (0.0000, 0.0000, 0.7989), Sb at (0.0000, 0.0000, 0.4934), I at (0.0086, 0.4009, 0.2394) and I at (0.0690, 0.7090, 0.0733).


8.
Compound: NaInSb2I
Source: the Alexandria database
Functional: PBE-GGA
Structure: optimized geometry

As for the uncorrected formation energy: 0.499 eV/atom. The value obtained for the excess energy over the best structure of this formula in the dataset is 302 meV/atom. Its spin magnetization is 2.35 μB/f.u.

The structure belongs to space group P4/mmm (No. 123); the cell edges are 5.8795, 5.8795 and 6.6129 Å and the angles 90.00°, 90.00° and 90.00°. The inequivalent atoms are Na at (0.0000, 0.0000, 0.0000), In at (0.5000, 0.5000, 0.5000), Sb at (0.0000, 0.5000, 0.0000) and I at (0.0000, 0.0000, 0.5000).